Compound: Sc2OsWO
Source: Alexandria
Functional: PBE with a Hubbard U
Structure: relaxed Values from VASP.

The structure in Quantum ESPRESSO input format:
```
&SYSTEM
  ibrav = 0, nat = 5, ntyp = 4
/
ATOMIC_SPECIES
Sc 44.96 Sc.upf
Os 190.23 Os.upf
O 16.00 O.upf
W 183.84 W.upf
CELL_PARAMETERS angstrom
-1.2421 -1.7684 -4.8162
-3.0370 -1.6440 1.3869
-2.7866 4.3933 -0.8944
ATOMIC_POSITIONS crystal
Sc 0.0000 0.0000 0.5000
Sc 0.5000 0.0000 0.0000
Os 0.5000 0.5000 0.5000
O 0.0000 0.5000 0.0000
W 0.0000 0.0000 0.0000
```

Results
As for the space-group type: P4/mmm. As for the distance to the lowest polymorph of the same formula: 0.0 meV per atom.

=====

Compound: ScOsWO2
Source: Alexandria
Functional: PBE with a Hubbard U
Structure: relaxed Values from VASP.

The structure in Quantum ESPRESSO input format:
```
&SYSTEM
  ibrav = 0, nat = 5, ntyp = 4
/
ATOMIC_SPECIES
Sc 44.96 Sc.upf
Os 190.23 Os.upf
O 16.00 O.upf
W 183.84 W.upf
CELL_PARAMETERS angstrom
-2.2856 2.7687 -1.2931
-0.8735 -3.0076 -4.8957
-3.0015 -1.7310 1.5990
ATOMIC_POSITIONS crystal
Sc 0.0000 0.0000 0.0000
Os 0.0000 0.5000 0.0000
O 0.0000 0.0000 0.5000
O 0.5000 0.0000 0.0000
W 0.5000 0.5000 0.5000
```

Results
As for the space-group type: P4/mmm.

=====

Compound: Sc2OsWO
Source: Alexandria
Functional: PBE with a Hubbard U
Structure: relaxed Values from VASP.

The structure in Quantum ESPRESSO input format:
```
&SYSTEM
  ibrav = 0, nat = 5, ntyp = 4
/
ATOMIC_SPECIES
Sc 44.96 Sc.upf
Os 190.23 Os.upf
O 16.00 O.upf
W 183.84 W.upf
CELL_PARAMETERS angstrom
-1.8091 -3.3993 -3.5274
-1.8428 -2.5507 3.4032
-4.4370 2.7307 -0.3559
ATOMIC_POSITIONS crystal
Sc 0.0000 0.0000 0.5000
Sc 0.5000 0.0000 0.0000
Os 0.0000 0.5000 0.0000
O 0.5000 0.5000 0.5000
W 0.0000 0.0000 0.0000
```

Results
As for the space-group type: P4/mmm. As for the distance to the lowest polymorph of the same formula: 902.7 meV per atom.

=====

no.,calculated total energy (eV per atom),spin magnetization (μB/f.u.)
1,-6.61,0.2
2,-6.80,0.0
3,-5.71,2.6